A plane-wave DFT calculation with meta-GGA SCAN was carried out for YFe4 at its PBEsol-relaxed geometry.

The structure in CIF format:
```
data_YFe4
_symmetry_space_group_name_H-M 'P 1'
_symmetry_Int_Tables_number 1
_cell_length_a 5.7589
_cell_length_b 5.7589
_cell_length_c 4.2007
_cell_angle_alpha 90.00
_cell_angle_beta 90.00
_cell_angle_gamma 90.00
loop_
_symmetry_equiv_pos_as_xyz
'x,y,z'
loop_
_atom_site_label
_atom_site_type_symbol
_atom_site_fract_x
_atom_site_fract_y
_atom_site_fract_z
Y1 Y 0.0000 0.0000 0.0000
Y2 Y 0.5000 0.5000 0.5000
Fe1 Fe 0.0573 0.6897 0.5000
Fe2 Fe 0.1897 0.4427 0.0000
Fe3 Fe 0.3103 0.0573 0.5000
Fe4 Fe 0.4427 0.8103 0.0000
Fe5 Fe 0.5573 0.1897 0.0000
Fe6 Fe 0.6897 0.9427 0.5000
Fe7 Fe 0.8103 0.5573 0.0000
Fe8 Fe 0.9427 0.3103 0.5000
```

For the formation energy, the calculation gives 0.234 eV/atom. Its symmetry is No. 87. The total magnetization comes out at 2.0477 μB/atom.

A plane-wave DFT calculation with meta-GGA SCAN was carried out for YFe4 at its PBEsol-relaxed geometry.

The structure in CIF format:
```
data_YFe4
_symmetry_space_group_name_H-M 'P 1'
_symmetry_Int_Tables_number 1
_cell_length_a 5.6002
_cell_length_b 5.6002
_cell_length_c 5.6002
_cell_angle_alpha 90.00
_cell_angle_beta 90.00
_cell_angle_gamma 90.00
loop_
_symmetry_equiv_pos_as_xyz
'x,y,z'
loop_
_atom_site_label
_atom_site_type_symbol
_atom_site_fract_x
_atom_site_fract_y
_atom_site_fract_z
Y1 Y 0.0000 0.0000 0.0000
Y2 Y 0.5000 0.5000 0.5000
Fe1 Fe 0.2500 0.2500 0.2500
Fe2 Fe 0.2500 0.2500 0.7500
Fe3 Fe 0.2500 0.7500 0.2500
Fe4 Fe 0.2500 0.7500 0.7500
Fe5 Fe 0.7500 0.2500 0.2500
Fe6 Fe 0.7500 0.2500 0.7500
Fe7 Fe 0.7500 0.7500 0.2500
Fe8 Fe 0.7500 0.7500 0.7500
```

For the formation energy, the calculation gives 1.672 eV/atom. Its symmetry is No. 229. The total magnetization comes out at 2.0152 μB/atom.

A plane-wave DFT calculation with meta-GGA SCAN was carried out for Y2Fe3 at its PBEsol-relaxed geometry.

The structure in CIF format:
```
data_Y2Fe3
_symmetry_space_group_name_H-M 'P 1'
_symmetry_Int_Tables_number 1
_cell_length_a 7.5370
_cell_length_b 5.2570
_cell_length_c 8.3449
_cell_angle_alpha 62.53
_cell_angle_beta 38.23
_cell_angle_gamma 79.23
loop_
_symmetry_equiv_pos_as_xyz
'x,y,z'
loop_
_atom_site_label
_atom_site_type_symbol
_atom_site_fract_x
_atom_site_fract_y
_atom_site_fract_z
Y1 Y 0.2176 0.7824 0.3803
Y2 Y 0.6303 0.8697 0.4676
Y3 Y 0.7824 0.2176 0.6197
Y4 Y 0.8697 0.6303 0.0324
Fe1 Fe 0.2174 0.8055 0.0314
Fe2 Fe 0.2186 0.3044 0.0326
Fe3 Fe 0.2464 0.2464 0.7536
Fe4 Fe 0.3044 0.2186 0.4445
Fe5 Fe 0.4964 0.4964 0.0036
Fe6 Fe 0.8055 0.2174 0.9456
```

For the formation energy, the calculation gives 0.065 eV/atom. Its symmetry is No. 43. The total magnetization comes out at 1.0073 μB/atom.

A plane-wave DFT calculation with meta-GGA SCAN was carried out for YFe3 at its PBEsol-relaxed geometry.

The structure in CIF format:
```
data_YFe3
_symmetry_space_group_name_H-M 'P 1'
_symmetry_Int_Tables_number 1
_cell_length_a 3.1226
_cell_length_b 4.3245
_cell_length_c 8.6559
_cell_angle_alpha 90.00
_cell_angle_beta 90.00
_cell_angle_gamma 90.00
loop_
_symmetry_equiv_pos_as_xyz
'x,y,z'
loop_
_atom_site_label
_atom_site_type_symbol
_atom_site_fract_x
_atom_site_fract_y
_atom_site_fract_z
Y1 Y 0.0000 0.0000 0.0000
Y2 Y 0.5000 0.5000 0.5000
Fe1 Fe 0.0000 0.0000 0.5000
Fe2 Fe 0.0000 0.5000 0.2273
Fe3 Fe 0.0000 0.5000 0.7727
Fe4 Fe 0.5000 0.0000 0.2727
Fe5 Fe 0.5000 0.0000 0.7273
Fe6 Fe 0.5000 0.5000 0.0000
```

For the formation energy, the calculation gives 0.312 eV/atom. Its symmetry is No. 71. The total magnetization comes out at 1.7905 μB/atom.

A plane-wave DFT calculation with meta-GGA SCAN was carried out for YFe5 at its PBEsol-relaxed geometry.

The structure in CIF format:
```
data_YFe5
_symmetry_space_group_name_H-M 'P 1'
_symmetry_Int_Tables_number 1
_cell_length_a 4.8375
_cell_length_b 4.8375
_cell_length_c 4.8375
_cell_angle_alpha 60.00
_cell_angle_beta 60.00
_cell_angle_gamma 60.00
loop_
_symmetry_equiv_pos_as_xyz
'x,y,z'
loop_
_atom_site_label
_atom_site_type_symbol
_atom_site_fract_x
_atom_site_fract_y
_atom_site_fract_z
Y1 Y 0.0000 0.0000 0.0000
Fe1 Fe 0.1276 0.6241 0.6241
Fe2 Fe 0.2500 0.2500 0.2500
Fe3 Fe 0.6241 0.1276 0.6241
Fe4 Fe 0.6241 0.6241 0.1276
Fe5 Fe 0.6241 0.6241 0.6241
```

For the formation energy, the calculation gives 0.066 eV/atom. Its symmetry is No. 216. The total magnetization comes out at 2.0165 μB/atom.

A plane-wave DFT calculation with meta-GGA SCAN was carried out for YFe3 at its PBEsol-relaxed geometry.

The structure in CIF format:
```
data_YFe3
_symmetry_space_group_name_H-M 'P 1'
_symmetry_Int_Tables_number 1
_cell_length_a 8.4373
_cell_length_b 8.4373
_cell_length_c 8.4373
_cell_angle_alpha 34.26
_cell_angle_beta 34.26
_cell_angle_gamma 34.26
loop_
_symmetry_equiv_pos_as_xyz
'x,y,z'
loop_
_atom_site_label
_atom_site_type_symbol
_atom_site_fract_x
_atom_site_fract_y
_atom_site_fract_z
Y1 Y 0.0000 0.0000 0.0000
Y2 Y 0.1419 0.1419 0.1419
Y3 Y 0.8581 0.8581 0.8581
Fe1 Fe 0.0811 0.5810 0.5810
Fe2 Fe 0.3327 0.3327 0.3327
Fe3 Fe 0.4190 0.4190 0.9189
Fe4 Fe 0.4190 0.9189 0.4190
Fe5 Fe 0.5000 0.5000 0.5000
Fe6 Fe 0.5810 0.0811 0.5810
Fe7 Fe 0.5810 0.5810 0.0811
Fe8 Fe 0.6673 0.6673 0.6673
Fe9 Fe 0.9189 0.4190 0.4190
```

For the formation energy, the calculation gives -0.002 eV/atom. Its symmetry is No. 166. The total magnetization comes out at 1.5669 μB/atom.

A plane-wave DFT calculation with meta-GGA SCAN was carried out for YFe5 at its PBEsol-relaxed geometry.

The structure in CIF format:
```
data_YFe5
_symmetry_space_group_name_H-M 'P 1'
_symmetry_Int_Tables_number 1
_cell_length_a 4.8849
_cell_length_b 4.8849
_cell_length_c 3.8824
_cell_angle_alpha 90.00
_cell_angle_beta 90.00
_cell_angle_gamma 120.00
loop_
_symmetry_equiv_pos_as_xyz
'x,y,z'
loop_
_atom_site_label
_atom_site_type_symbol
_atom_site_fract_x
_atom_site_fract_y
_atom_site_fract_z
Y1 Y 0.0000 0.0000 0.0000
Fe1 Fe 0.0000 0.5000 0.5000
Fe2 Fe 0.3333 0.6667 0.0000
Fe3 Fe 0.5000 0.0000 0.5000
Fe4 Fe 0.5000 0.5000 0.5000
Fe5 Fe 0.6667 0.3333 0.0000
```

For the formation energy, the calculation gives 0.009 eV/atom. Its symmetry is No. 191. The total magnetization comes out at 1.8827 μB/atom.

A plane-wave DFT calculation with meta-GGA SCAN was carried out for YZrFe at its PBEsol-relaxed geometry.

The structure in CIF format:
```
data_YZrFe
_symmetry_space_group_name_H-M 'P 1'
_symmetry_Int_Tables_number 1
_cell_length_a 3.2178
_cell_length_b 3.2178
_cell_length_c 11.7894
_cell_angle_alpha 90.00
_cell_angle_beta 90.00
_cell_angle_gamma 90.00
loop_
_symmetry_equiv_pos_as_xyz
'x,y,z'
loop_
_atom_site_label
_atom_site_type_symbol
_atom_site_fract_x
_atom_site_fract_y
_atom_site_fract_z
Y1 Y 0.0000 0.0000 0.0000
Y2 Y 0.5000 0.5000 0.5000
Zr1 Zr 0.0000 0.0000 0.7352
Zr2 Zr 0.5000 0.5000 0.2352
Fe1 Fe 0.0000 0.0000 0.3443
Fe2 Fe 0.5000 0.5000 0.8443
```

For the formation energy, the calculation gives 0.038 eV/atom. Its symmetry is No. 107. The total magnetization comes out at 0.3164 μB/atom.

A plane-wave DFT calculation with meta-GGA SCAN was carried out for ZnFe at its PBEsol-relaxed geometry.

The structure in CIF format:
```
data_ZnFe
_symmetry_space_group_name_H-M 'P 1'
_symmetry_Int_Tables_number 1
_cell_length_a 2.9663
_cell_length_b 4.0330
_cell_length_c 8.1110
_cell_angle_alpha 90.00
_cell_angle_beta 90.00
_cell_angle_gamma 90.00
loop_
_symmetry_equiv_pos_as_xyz
'x,y,z'
loop_
_atom_site_label
_atom_site_type_symbol
_atom_site_fract_x
_atom_site_fract_y
_atom_site_fract_z
Zn1 Zn 0.0000 0.2500 0.1379
Zn2 Zn 0.0000 0.7500 0.8621
Zn3 Zn 0.5000 0.2500 0.8621
Zn4 Zn 0.5000 0.7500 0.1379
Fe1 Fe 0.0000 0.2500 0.6146
Fe2 Fe 0.0000 0.7500 0.3854
Fe3 Fe 0.5000 0.2500 0.3854
Fe4 Fe 0.5000 0.7500 0.6146
```

For the formation energy, the calculation gives -0.017 eV/atom. Its symmetry is No. 67. The total magnetization comes out at 1.2643 μB/atom.

A plane-wave DFT calculation with meta-GGA SCAN was carried out for ZnFe at its PBEsol-relaxed geometry.

The structure in CIF format:
```
data_ZnFe
_symmetry_space_group_name_H-M 'P 1'
_symmetry_Int_Tables_number 1
_cell_length_a 5.7558
_cell_length_b 5.7558
_cell_length_c 5.7558
_cell_angle_alpha 90.00
_cell_angle_beta 90.00
_cell_angle_gamma 90.00
loop_
_symmetry_equiv_pos_as_xyz
'x,y,z'
loop_
_atom_site_label
_atom_site_type_symbol
_atom_site_fract_x
_atom_site_fract_y
_atom_site_fract_z
Zn1 Zn 0.1250 0.1250 0.1250
Zn2 Zn 0.1250 0.6250 0.6250
Zn3 Zn 0.3750 0.3750 0.8750
Zn4 Zn 0.3750 0.8750 0.3750
Zn5 Zn 0.6250 0.1250 0.6250
Zn6 Zn 0.6250 0.6250 0.1250
Zn7 Zn 0.8750 0.3750 0.3750
Zn8 Zn 0.8750 0.8750 0.8750
Fe1 Fe 0.1250 0.1250 0.6250
Fe2 Fe 0.1250 0.6250 0.1250
Fe3 Fe 0.3750 0.3750 0.3750
Fe4 Fe 0.3750 0.8750 0.8750
Fe5 Fe 0.6250 0.1250 0.1250
Fe6 Fe 0.6250 0.6250 0.6250
Fe7 Fe 0.8750 0.3750 0.8750
Fe8 Fe 0.8750 0.8750 0.3750
```

For the formation energy, the calculation gives -0.011 eV/atom. Its symmetry is No. 227. The total magnetization comes out at 1.2194 μB/atom.

A plane-wave DFT calculation with meta-GGA SCAN was carried out for Zn4Fe3 at its PBEsol-relaxed geometry.

The structure in CIF format:
```
data_Zn4Fe3
_symmetry_space_group_name_H-M 'P 1'
_symmetry_Int_Tables_number 1
_cell_length_a 2.5615
_cell_length_b 2.5615
_cell_length_c 25.6191
_cell_angle_alpha 90.00
_cell_angle_beta 90.00
_cell_angle_gamma 90.00
loop_
_symmetry_equiv_pos_as_xyz
'x,y,z'
loop_
_atom_site_label
_atom_site_type_symbol
_atom_site_fract_x
_atom_site_fract_y
_atom_site_fract_z
Zn1 Zn 0.0000 0.0000 0.0717
Zn2 Zn 0.0000 0.0000 0.3479
Zn3 Zn 0.0000 0.0000 0.6521
Zn4 Zn 0.0000 0.0000 0.9283
Zn5 Zn 0.5000 0.5000 0.1521
Zn6 Zn 0.5000 0.5000 0.4283
Zn7 Zn 0.5000 0.5000 0.5717
Zn8 Zn 0.5000 0.5000 0.8479
Fe1 Fe 0.0000 0.0000 0.2226
Fe2 Fe 0.0000 0.0000 0.5000
Fe3 Fe 0.0000 0.0000 0.7774
Fe4 Fe 0.5000 0.5000 0.0000
Fe5 Fe 0.5000 0.5000 0.2774
Fe6 Fe 0.5000 0.5000 0.7226
```

For the formation energy, the calculation gives 0.096 eV/atom. Its symmetry is No. 139. The total magnetization comes out at 0.5041 μB/atom.

A plane-wave DFT calculation with meta-GGA SCAN was carried out for Zn9Fe4 at its PBEsol-relaxed geometry.

The structure in CIF format:
```
data_Zn9Fe4
_symmetry_space_group_name_H-M 'P 1'
_symmetry_Int_Tables_number 1
_cell_length_a 7.5649
_cell_length_b 7.5649
_cell_length_c 7.5649
_cell_angle_alpha 109.47
_cell_angle_beta 109.47
_cell_angle_gamma 109.47
loop_
_symmetry_equiv_pos_as_xyz
'x,y,z'
loop_
_atom_site_label
_atom_site_type_symbol
_atom_site_fract_x
_atom_site_fract_y
_atom_site_fract_z
Zn1 Zn 0.0000 0.2410 0.6451
Zn2 Zn 0.0000 0.3560 0.3560
Zn3 Zn 0.0000 0.6440 0.6440
Zn4 Zn 0.0000 0.6451 0.2410
Zn5 Zn 0.2410 0.0000 0.6451
Zn6 Zn 0.2410 0.6451 0.0000
Zn7 Zn 0.3549 0.3549 0.5960
Zn8 Zn 0.3549 0.5960 0.3549
Zn9 Zn 0.3560 0.0000 0.3560
Zn10 Zn 0.3560 0.3560 0.0000
Zn11 Zn 0.4040 0.7590 0.7590
Zn12 Zn 0.5960 0.3549 0.3549
Zn13 Zn 0.6440 0.0000 0.6440
Zn14 Zn 0.6440 0.6440 0.0000
Zn15 Zn 0.6451 0.0000 0.2410
Zn16 Zn 0.6451 0.2410 0.0000
Zn17 Zn 0.7590 0.4040 0.7590
Zn18 Zn 0.7590 0.7590 0.4040
Fe1 Fe 0.0000 0.0000 0.3242
Fe2 Fe 0.0000 0.0000 0.8120
Fe3 Fe 0.0000 0.3242 0.0000
Fe4 Fe 0.0000 0.8120 0.0000
Fe5 Fe 0.1880 0.1880 0.1880
Fe6 Fe 0.3242 0.0000 0.0000
Fe7 Fe 0.6758 0.6758 0.6758
Fe8 Fe 0.8120 0.0000 0.0000
```

For the formation energy, the calculation gives -0.012 eV/atom. Its symmetry is No. 217. The total magnetization comes out at 0.7231 μB/atom.

A plane-wave DFT calculation with meta-GGA SCAN was carried out for Zn2Fe at its PBEsol-relaxed geometry.

The structure in CIF format:
```
data_Zn2Fe
_symmetry_space_group_name_H-M 'P 1'
_symmetry_Int_Tables_number 1
_cell_length_a 9.6448
_cell_length_b 2.5613
_cell_length_c 6.2519
_cell_angle_alpha 90.00
_cell_angle_beta 104.75
_cell_angle_gamma 90.00
loop_
_symmetry_equiv_pos_as_xyz
'x,y,z'
loop_
_atom_site_label
_atom_site_type_symbol
_atom_site_fract_x
_atom_site_fract_y
_atom_site_fract_z
Zn1 Zn 0.0000 0.0000 0.0000
Zn2 Zn 0.0549 0.0000 0.6094
Zn3 Zn 0.2257 0.5000 0.9472
Zn4 Zn 0.3889 0.0000 0.2892
Zn5 Zn 0.5000 0.5000 0.0000
Zn6 Zn 0.5549 0.5000 0.6094
Zn7 Zn 0.7257 0.0000 0.9472
Zn8 Zn 0.8889 0.5000 0.2892
Fe1 Fe 0.1681 0.5000 0.3353
Fe2 Fe 0.3269 0.0000 0.6615
Fe3 Fe 0.6681 0.0000 0.3353
Fe4 Fe 0.8269 0.5000 0.6615
```

For the formation energy, the calculation gives -0.002 eV/atom. Its symmetry is No. 8. The total magnetization comes out at 0.7946 μB/atom.